Entry from Alexandria via LeMat-Bulk: a relaxed PrY2TeO8 crystal (PBE).

The space group is Cmmm (No. 65) and the conventional cell measures 7.089, 7.161 and 7.091 Å, with angles of 90.00, 90.00 and 90.00 degrees. The inequivalent atoms are Pr at (0.000, 0.000, 0.000), Y at (0.000, 0.500, 0.262), Te at (0.000, 0.000, 0.500), O at (0.000, 0.184, 0.296), O at (0.178, 0.500, 0.000) and O at (0.224, 0.500, 0.500).

As for the uncorrected formation energy: -2.46 eV per atom.



Entry from Alexandria via LeMat-Bulk: a relaxed ZnWS2N crystal (PBE).

The space group is P4/mmm (No. 123) and the conventional cell measures 4.659, 4.659 and 3.538 Å, with angles of 90.00, 90.00 and 90.00 degrees. The inequivalent atoms are Zn at (0.000, 0.000, 0.000), W at (0.500, 0.500, 0.500), S at (0.000, 0.500, 0.000) and N at (0.000, 0.000, 0.500).

As for the polymorph energy (0 for the lowest one): 1325 meV/atom. As for the uncorrected formation energy: 1.48 eV per atom.



Entry from Alexandria via LeMat-Bulk: a relaxed SbAsAu2 crystal (PBE).

The space group is I-42d (No. 122) and the conventional cell measures 6.743, 6.743 and 9.027 Å, with angles of 90.00, 90.00 and 90.00 degrees. The inequivalent atoms are Sb at (0.000, 0.000, 0.000), As at (0.000, 0.000, 0.500) and Au at (0.228, 0.750, 0.625).

As for the polymorph energy (0 for the lowest one): 127 meV/atom. As for the uncorrected formation energy: 0.16 eV per atom.



Entry from Alexandria via LeMat-Bulk: a relaxed Pr2CdIr9 crystal (PBE).

The space group is R-3m (No. 166, hexagonal axes) and the conventional cell measures 5.3292, 5.3292 and 26.7932 Å, with angles of 90.00, 90.00 and 120.00 degrees. The inequivalent atoms are Pr at (0.0000, 0.0000, 0.1371), Cd at (0.0000, 0.0000, 0.0000), Ir at (0.0000, 0.0000, 0.3325), Ir at (0.0000, 0.0000, 0.5000) and Ir at (0.0024, 0.5012, 0.0808).

The energy comes out at -7.7147 eV per atom.



Entry from Alexandria via LeMat-Bulk: a relaxed CdIn2AgI5 crystal (PBE).

The space group is Cmc2_1 (No. 36) and the conventional cell measures 4.486, 21.513 and 14.500 Å, with angles of 90.00, 90.00 and 90.00 degrees. The inequivalent atoms are Cd at (0.000, 0.066, 0.000), In at (0.000, 0.362, 0.246), In at (0.000, 0.373, 0.881), Ag at (0.000, 0.275, 0.596), I at (0.000, 0.003, 0.337), I at (0.000, 0.142, 0.571), I at (0.000, 0.192, 0.947), I at (0.000, 0.205, 0.229) and I at (0.000, 0.462, 0.613).

As for the uncorrected formation energy: -0.43 eV per atom.



Entry from Alexandria via LeMat-Bulk: a relaxed AlFe2Br crystal (PBE).

The space group is I-4m2 (No. 119) and the conventional cell measures 3.761, 3.761 and 8.515 Å, with angles of 90.00, 90.00 and 90.00 degrees. The inequivalent atoms are Al at (0.000, 0.000, 0.000), Fe at (0.000, 0.000, 0.500), Fe at (0.000, 0.500, 0.250) and Br at (0.000, 0.500, 0.750).

As for the polymorph energy (0 for the lowest one): 473 meV/atom. As for the uncorrected formation energy: 0.59 eV per atom.



Entry from Alexandria via LeMat-Bulk: a relaxed K2HRuO crystal (PBE).

The space group is P4/mmm (No. 123) and the conventional cell measures 5.687, 5.687 and 3.736 Å, with angles of 90.00, 90.00 and 90.00 degrees. The inequivalent atoms are K at (0.000, 0.500, 0.000), H at (0.000, 0.000, 0.500), Ru at (0.500, 0.500, 0.500) and O at (0.500, 0.500, 0.000).

The energy comes out at -4.0621 eV per atom.



Entry from Alexandria via LeMat-Bulk: a relaxed Ca2ZrBr crystal (PBE).

The space group is I-42d (No. 122) and the conventional cell measures 8.702, 8.702 and 6.687 Å, with angles of 90.00, 90.00 and 90.00 degrees. The inequivalent atoms are Ca at (0.195, 0.750, 0.125), Zr at (0.000, 0.000, 0.500) and Br at (0.000, 0.000, 0.000).

As for the polymorph energy (0 for the lowest one): 562 meV/atom. As for the uncorrected formation energy: 0.09 eV per atom.



Entry from Alexandria via LeMat-Bulk: a relaxed AlNi2Ag crystal (PBE).

The space group is Cm (No. 8) and the conventional cell measures 8.867, 2.791 and 4.461 Å, with angles of 90.00, 105.03 and 90.00 degrees. The inequivalent atoms are Al at (0.000, 0.000, 0.000), Ni at (0.236, 0.500, 0.210), Ni at (0.477, 0.000, 0.454) and Ag at (0.238, 0.000, 0.708).

The energy comes out at -4.6706 eV per atom.



Entry from Alexandria via LeMat-Bulk: a relaxed Nb2Rh crystal (PBE).

The space group is P4_2/mnm (No. 136) and the conventional cell measures 9.941, 9.941 and 5.140 Å, with angles of 90.00, 90.00 and 90.00 degrees. The inequivalent atoms are Nb at (0.038, 0.373, 0.000), Nb at (0.107, 0.107, 0.000), Nb at (0.177, 0.823, 0.248), Rh at (0.000, 0.000, 0.500) and Rh at (0.071, 0.262, 0.500).

The energy comes out at -9.4928 eV per atom.



Entry from Alexandria via LeMat-Bulk: a relaxed PmEuInIr crystal (PBE).

The space group is F-43m (No. 216) and the conventional cell measures 7.358, 7.358 and 7.358 Å, with angles of 90.00, 90.00 and 90.00 degrees. The inequivalent atoms are Pm at (0.000, 0.000, 0.000), Eu at (0.000, 0.000, 0.500), In at (0.250, 0.250, 0.750) and Ir at (0.250, 0.250, 0.250).

The energy comes out at -7.0210 eV per atom.



Entry from Alexandria via LeMat-Bulk: a relaxed Hf3NbN crystal (PBE).

The space group is Pm-3m (No. 221) and the conventional cell measures 5.014, 5.014 and 5.014 Å, with angles of 90.00, 90.00 and 90.00 degrees. The inequivalent atoms are Hf at (0.000, 0.000, 0.500), Nb at (0.000, 0.000, 0.000) and N at (0.500, 0.500, 0.500).

As for the polymorph energy (0 for the lowest one): 2734 meV/atom. As for the uncorrected formation energy: 2.01 eV per atom.



Entry from Alexandria via LeMat-Bulk: a relaxed Tb4Tm3ThSe8 crystal (PBE).

The space group is R-3m (No. 166, hexagonal axes) and the conventional cell measures 8.1791, 8.1791 and 19.9559 Å, with angles of 90.00, 90.00 and 120.00 degrees. The inequivalent atoms are Tb at (0.0000, 0.0000, 0.0000), Tb at (0.0000, 0.5000, 0.0000), Tm at (0.0000, 0.5000, 0.5000), Th at (0.0000, 0.0000, 0.5000), Se at (0.0000, 0.0000, 0.2473) and Se at (0.0088, 0.5044, 0.7506).

As for the uncorrected formation energy: -1.69 eV per atom.



Entry from Alexandria via LeMat-Bulk: a relaxed YZr2Sc2 crystal (PBE).

The space group is P4/mbm (No. 127) and the conventional cell measures 8.590, 8.590 and 3.459 Å, with angles of 90.00, 90.00 and 90.00 degrees. The inequivalent atoms are Y at (0.000, 0.000, 0.000), Zr at (0.123, 0.377, 0.000) and Sc at (0.170, 0.670, 0.500).

As for the polymorph energy (0 for the lowest one): 0 meV/atom.



Entry from Alexandria via LeMat-Bulk: a relaxed DyErUO6 crystal (PBE).

The space group is P-31c (No. 163) and the conventional cell measures 5.7363, 5.7363 and 9.3859 Å, with angles of 90.00, 90.00 and 120.00 degrees. The inequivalent atoms are Dy at (0.0000, 0.0000, 0.0000), Er at (0.3333, 0.6667, 0.2500), U at (0.3333, 0.6667, 0.7500) and O at (0.0201, 0.3534, 0.6342).

As for the uncorrected formation energy: -3.37 eV per atom.



Entry from Alexandria via LeMat-Bulk: a relaxed SmSeCl crystal (PBE).

The space group is I4mm (No. 107) and the conventional cell measures 3.617, 3.617 and 13.516 Å, with angles of 90.00, 90.00 and 90.00 degrees. The inequivalent atoms are Sm at (0.000, 0.000, 0.000), Se at (0.000, 0.000, 0.392) and Cl at (0.000, 0.000, 0.632).

As for the uncorrected formation energy: -1.72 eV per atom.



Entry from Alexandria via LeMat-Bulk: a relaxed LiGa2Au6 crystal (PBE).

The space group is P2_1/c (No. 14) and the conventional cell measures 6.674, 6.628 and 9.651 Å, with angles of 90.00, 127.55 and 90.00 degrees. The inequivalent atoms are Li at (0.000, 0.000, 0.000), Ga at (0.315, 0.142, 0.763), Au at (0.005, 0.668, 0.215), Au at (0.257, 0.643, 0.043) and Au at (0.467, 0.219, 0.088).

As for the polymorph energy (0 for the lowest one): 0 meV/atom.



Entry from Alexandria via LeMat-Bulk: a relaxed Mg3Zn2Ag4 crystal (PBE).

The space group is C2/c (No. 15) and the conventional cell measures 9.165, 9.396 and 7.667 Å, with angles of 90.00, 90.26 and 90.00 degrees. The inequivalent atoms are Mg at (0.000, 0.086, 0.250), Mg at (0.165, 0.414, 0.745), Zn at (0.172, 0.141, 0.930), Ag at (0.009, 0.357, 0.065) and Ag at (0.171, 0.129, 0.576).

As for the polymorph energy (0 for the lowest one): 27 meV/atom.



Entry from Alexandria via LeMat-Bulk: a relaxed LaReAs2 crystal (PBE).

The space group is Imm2 (No. 44) and the conventional cell measures 3.348, 3.664 and 13.832 Å, with angles of 90.00, 90.00 and 90.00 degrees. The inequivalent atoms are La at (0.000, 0.000, 0.000), Re at (0.000, 0.500, 0.254), As at (0.000, 0.000, 0.620) and As at (0.000, 0.500, 0.827).

As for the polymorph energy (0 for the lowest one): 260 meV/atom.



Entry from Alexandria via LeMat-Bulk: a relaxed YHPd2Se crystal (PBE).

The space group is P4/mmm (No. 123) and the conventional cell measures 4.004, 4.004 and 4.944 Å, with angles of 90.00, 90.00 and 90.00 degrees. The inequivalent atoms are Y at (0.000, 0.000, 0.000), H at (0.000, 0.000, 0.500), Pd at (0.000, 0.500, 0.500) and Se at (0.500, 0.500, 0.000).

The energy comes out at -5.4960 eV per atom.



Entry from Alexandria via LeMat-Bulk: a relaxed La5Ag2Pt2 crystal (PBE).

The space group is Cmce (No. 64) and the conventional cell measures 16.314, 7.815 and 8.113 Å, with angles of 90.00, 90.00 and 90.00 degrees. The inequivalent atoms are La at (0.000, 0.000, 0.000), La at (0.127, 0.167, 0.329), Ag at (0.211, 0.000, 0.000) and Pt at (0.000, 0.134, 0.631).

The energy comes out at -5.3442 eV per atom.



Entry from Alexandria via LeMat-Bulk: a relaxed Fe2MoCl crystal (PBE).

The space group is Cmmm (No. 65) and the conventional cell measures 3.115, 4.680 and 8.045 Å, with angles of 90.00, 90.00 and 90.00 degrees. The inequivalent atoms are Fe at (0.000, 0.000, 0.246), Mo at (0.000, 0.500, 0.500) and Cl at (0.000, 0.500, 0.000).

As for the polymorph energy (0 for the lowest one): 156 meV/atom. As for the uncorrected formation energy: 0.33 eV per atom.